4
Lattice="-2.224 2.713 0.919 -3.561 -0.604 0.320 -1.400 -0.247 4.494" Properties=species:S:1:pos:R:3 comment="AsH2S PBE-GGA optimized geometry" relative_energy_ev_per_atom=0.055 magmom_total_mub_per_cell=0.00 sg="No. 166" pbc="T T T"
H -1.608 0.127 2.889
H -5.578 1.735 2.844
As -3.593 0.931 2.867
S 0.000 0.000 0.000